Record 1
Density functional theory data (PBE) for a geometry-optimized NdPuGa4 structure.

Computed properties:
M_tot in μB per atom: 0.96
Offset from the most stable computed form in eV/atom: 0.000
Formation energy in kJ per mole of atoms: -47.36

Cell: 4.4308 5.8459 5.8459 Å, 80.98 67.73 67.73°
Closest atoms and distances in Å follow each position.
Sites, in units of the cell vectors:
Ga1 0.6670 0.5769 0.5892  3 Ga 2.56-2.57
Ga2 0.3330 0.4231 0.4108  3 Ga 2.56-2.57
Ga3 0.3331 0.9107 0.9232  3 Ga 2.56-2.57
Ga4 0.6669 0.0893 0.0768  3 Ga 2.56-2.57
Nd1 0.0000 0.0000 0.5000  12 Ga 3.17-3.22
Pu1 0.0000 0.5000 0.0000  12 Ga 3.16-3.22



Record 2
Density functional theory data (PBE) for a geometry-optimized Nd2PuGa structure.

Computed properties:
M_tot in μB per atom: 1.70
Offset from the most stable computed form in eV/atom: 0.000
Formation energy in kJ per mole of atoms: -14.59

Cell: 3.6434 3.6434 8.6166 Å, 90.00 90.00 90.00°
Closest atoms and distances in Å follow each position.
Sites, in units of the cell vectors:
Nd1 0.0000 0.0000 0.7840  4 Ga 3.18, 4 Pu 3.55
Nd2 0.0000 0.0000 0.2160  4 Ga 3.18, 4 Pu 3.55
Ga1 0.5000 0.5000 0.0000  8 Nd 3.18
Pu1 0.5000 0.5000 0.5000  8 Nd 3.55, 4 Pu 3.64



Record 3
Density functional theory data (PBE) for a geometry-optimized NdPuGa2 structure.

Computed properties:
M_tot in μB per atom: 1.41
Offset from the most stable computed form in eV/atom: 0.201
Formation energy in kJ per mole of atoms: -17.18

Cell: 3.6207 3.6207 9.4435 Å, 78.95 78.95 60.00°
Closest atoms and distances in Å follow each position.
Sites, in units of the cell vectors:
Pu1 0.0000 0.0000 0.0000  6 Ga 3.09
Ga1 0.7489 0.7489 0.7534  3 Pu 3.09, 3 Nd 3.13
Ga2 0.2511 0.2511 0.2466  3 Pu 3.09, 3 Nd 3.13
Nd1 0.5000 0.5000 0.5000  6 Ga 3.13



Record 4
Density functional theory data (PBE) for a geometry-optimized Nd2PuGa2Rh5 structure.

Computed properties:
M_tot in μB per atom: 0.49
Formation energy in kJ per mole of atoms: -65.84

Cell: 3.6713 10.1059 10.1059 Å, 90.00 90.00 90.00°
Closest atoms and distances in Å follow each position.
Sites, in units of the cell vectors:
Pu1 0.0000 0.0000 0.0000  8 Rh 2.90
Pu2 0.0000 0.5000 0.5000  8 Rh 2.90
Nd1 0.0000 0.6736 0.1736  3 Ga 2.92-3.03, 6 Rh 3.09-3.21
Nd2 0.0000 0.8264 0.6736  3 Ga 2.92-3.03, 6 Rh 3.09-3.21
Nd3 0.0000 0.3264 0.8264  3 Ga 2.92-3.03, 6 Rh 3.09-3.21
Nd4 0.0000 0.1736 0.3264  3 Ga 2.92-3.03, 6 Rh 3.09-3.21
Rh1 0.5000 0.0000 0.5000  4 Ga 2.53
Rh2 0.5000 0.9317 0.2108  2 Ga 2.55
Rh3 0.5000 0.7108 0.4317  2 Ga 2.55
Rh4 0.5000 0.2108 0.0683  2 Ga 2.55
Rh5 0.5000 0.0683 0.7892  2 Ga 2.55
Rh6 0.5000 0.2892 0.5683  2 Ga 2.55
Rh7 0.5000 0.5000 0.0000  4 Ga 2.53
Rh8 0.5000 0.4317 0.2892  2 Ga 2.55
Rh9 0.5000 0.7892 0.9317  2 Ga 2.55
Rh10 0.5000 0.5683 0.7108  2 Ga 2.55
Ga1 0.0000 0.3777 0.1223  6 Rh 2.53-2.55
Ga2 0.0000 0.8777 0.3777  6 Rh 2.53-2.55
Ga3 0.0000 0.1223 0.6223  6 Rh 2.53-2.55
Ga4 0.0000 0.6223 0.8777  6 Rh 2.53-2.55



Record 5
Density functional theory data (PBE) for a geometry-optimized NdPuGaSi structure.

Computed properties:
M_tot in μB per atom: 1.39
E_form (uncorrected) in eV per atom: -0.346

Cell: 5.0856 5.0856 5.0856 Å, 60.00 60.00 60.00°
Closest atoms and distances in Å follow each position.
Sites, in units of the cell vectors:
Pu1 0.5000 0.5000 0.5000  4 Si 3.11, 4 Ga 3.11
Si1 0.7500 0.7500 0.7500  4 Pu 3.11, 4 Nd 3.11
Ga1 0.2500 0.2500 0.2500  4 Nd 3.11, 4 Pu 3.11
Nd1 0.0000 0.0000 0.0000  4 Ga 3.11, 4 Si 3.11



Record 6
Density functional theory data (PBE) for a geometry-optimized NdPuTlGa structure.

Computed properties:
M_tot in μB per atom: 1.53
Formation energy in kJ per mole of atoms: -21.58

Cell: 5.3404 5.3404 5.3404 Å, 60.00 60.00 60.00°
Closest atoms and distances in Å follow each position.
Sites, in units of the cell vectors:
Pu1 0.0000 0.0000 0.0000  4 Ga 3.27, 4 Tl 3.27
Ga1 0.2500 0.2500 0.2500  4 Nd 3.27, 4 Pu 3.27
Nd1 0.5000 0.5000 0.5000  4 Tl 3.27, 4 Ga 3.27
Tl1 0.7500 0.7500 0.7500  4 Nd 3.27, 4 Pu 3.27



Record 7
Density functional theory data (PBE) for a geometry-optimized NdPuZnGa structure.

Computed properties:
M_tot in μB per atom: 1.55
Formation energy in kJ per mole of atoms: -26.35

Cell: 5.1520 5.1520 5.1520 Å, 60.00 60.00 60.00°
Closest atoms and distances in Å follow each position.
Sites, in units of the cell vectors:
Zn1 0.7500 0.7500 0.7500  4 Nd 3.15, 4 Pu 3.15
Nd1 0.5000 0.5000 0.5000  4 Zn 3.15, 4 Ga 3.15
Pu1 0.0000 0.0000 0.0000  4 Zn 3.15, 4 Ga 3.15
Ga1 0.2500 0.2500 0.2500  4 Nd 3.15, 4 Pu 3.15



Record 8
Density functional theory data (PBE) for a geometry-optimized Rb2NdGaTe4 structure.

Computed properties:
M_tot in μB per atom: 0.00
E_form (uncorrected) in eV per atom: -0.839

Cell: 9.4712 9.4712 9.6656 Å, 119.63 119.63 92.35°
Closest atoms and distances in Å follow each position.
Sites, in units of the cell vectors:
Te1 0.2090 0.7391 0.9706  2 Nd 3.15-3.21, 1 Ga 3.22, 1 Rb 3.43
Te2 0.2122 0.2358 0.0272  1 Ga 2.76
Te3 0.7910 0.2609 0.0294  2 Nd 3.15-3.21, 1 Ga 3.22, 1 Rb 3.43
Te4 0.7609 0.2910 0.5294  2 Nd 3.15-3.21, 1 Ga 3.22, 1 Rb 3.43
Te5 0.2391 0.7090 0.4706  2 Nd 3.15-3.21, 1 Ga 3.22, 1 Rb 3.43
Te6 0.7878 0.7642 0.9728  1 Ga 2.76
Te7 0.7358 0.7122 0.5272  1 Ga 2.76
Te8 0.2642 0.2878 0.4728  1 Ga 2.76
Nd1 0.0000 0.5000 0.0000  6 Te 3.15-3.30
Nd2 0.0000 0.5000 0.5000  6 Te 3.15-3.30
Rb1 0.5000 0.0000 0.5000  6 Te 3.43-3.62
Rb2 0.5000 0.5000 0.0000  6 Te 3.63-3.82
Rb3 0.5000 0.0000 0.0000  6 Te 3.43-3.62
Rb4 0.0000 0.0000 0.5000  6 Te 3.63-3.82
Ga1 0.5000 0.5000 0.5000  2 Te 2.76
Ga2 0.0000 0.0000 0.0000  2 Te 2.76



Record 9
Density functional theory data (PBE) for a geometry-optimized NdGa3Re structure.

Computed properties:
M_tot in μB per atom: 0.00
Formation energy in kJ per mole of atoms: -19.80

Cell: 4.8123 4.8123 4.8123 Å, 90.00 90.00 90.00°
Closest atoms and distances in Å follow each position.
Sites, in units of the cell vectors:
Ga1 0.0000 0.0000 0.5000  2 Re 2.41
Ga2 0.0000 0.5000 0.0000  2 Re 2.41
Ga3 0.5000 0.0000 0.0000  2 Re 2.41
Re1 0.0000 0.0000 0.0000  6 Ga 2.41
Nd1 0.5000 0.5000 0.5000  12 Ga 3.40



Record 10
Density functional theory data (PBE) for a geometry-optimized Nd2GaRe structure.

Computed properties:
M_tot in μB per atom: 0.00
Formation energy in kJ per mole of atoms: 65.78

Cell: 3.1497 3.1497 11.0714 Å, 81.82 81.82 60.00°
Closest atoms and distances in Å follow each position.
Sites, in units of the cell vectors:
Nd1 0.9136 0.9136 0.2591  1 Re 2.83, 6 Nd 3.15
Nd2 0.0864 0.0864 0.7409  1 Re 2.83, 6 Nd 3.15
Re1 0.0000 0.0000 0.0000  2 Nd 2.83, 6 Re 3.15
Ga1 0.5000 0.5000 0.5000  6 Ga 3.15, 6 Nd 3.20



Record 11
Density functional theory data (PBE) for a geometry-optimized NdGaRe structure.

Computed properties:
M_tot in μB per atom: 0.00
Formation energy in kJ per mole of atoms: 8.21

Cell: 4.6009 4.1395 9.9459 Å, 82.61 76.63 56.24°
Closest atoms and distances in Å follow each position.
Sites, in units of the cell vectors:
Ga1 0.2500 0.5000 0.5000  2 Ga 2.30
Ga2 0.7500 0.5000 0.5000  2 Ga 2.30
Nd1 0.6120 0.0000 0.7760  6 Re 3.12-3.38, 4 Ga 3.38
Nd2 0.3880 0.0000 0.2240  6 Re 3.12-3.38, 4 Ga 3.38
Re1 0.8258 0.3484 0.0000  3 Re 2.40-2.53
Re2 0.1742 0.6516 0.0000  3 Re 2.40-2.53



Record 12
Density functional theory data (PBE) for a geometry-optimized NdGa3Rh3 structure.

Computed properties:
M_tot in μB per atom: 0.00
Offset from the most stable computed form in eV/atom: 0.000
Formation energy in kJ per mole of atoms: -58.65

Cell: 7.8066 7.8066 7.8066 Å, 90.00 90.00 90.00°
Closest atoms and distances in Å follow each position.
Sites, in units of the cell vectors:
Rh1 0.2095 0.2095 0.2095  6 Ga 2.62-2.79
Rh2 0.2905 0.7905 0.7095  6 Ga 2.62-2.79
Rh3 0.7905 0.7095 0.2905  6 Ga 2.62-2.79
Rh4 0.6707 0.6707 0.6707  6 Ga 2.62-2.64, 1 Rh 2.88
Rh5 0.1707 0.8293 0.3293  6 Ga 2.62-2.64, 1 Rh 2.88
Rh6 0.7095 0.2905 0.7905  6 Ga 2.62-2.79
Rh7 0.1160 0.3840 0.6160  3 Ga 2.60, 1 Rh 2.88, 3 Nd 2.90
Rh8 0.3840 0.6160 0.1160  3 Ga 2.60, 1 Rh 2.88, 3 Nd 2.90
Rh9 0.6160 0.1160 0.3840  3 Ga 2.60, 1 Rh 2.88, 3 Nd 2.90
Rh10 0.3293 0.1707 0.8293  6 Ga 2.62-2.64, 1 Rh 2.88
Rh11 0.8293 0.3293 0.1707  6 Ga 2.62-2.64, 1 Rh 2.88
Rh12 0.8840 0.8840 0.8840  3 Ga 2.60, 1 Rh 2.88, 3 Nd 2.90
Nd1 0.5616 0.9384 0.0616  5 Rh 2.90-3.14, 6 Ga 2.92-3.01
Nd2 0.9384 0.0616 0.5616  5 Rh 2.90-3.14, 6 Ga 2.92-3.01
Nd3 0.4384 0.4384 0.4384  5 Rh 2.90-3.14, 6 Ga 2.92-3.01
Nd4 0.0616 0.5616 0.9384  5 Rh 2.90-3.14, 6 Ga 2.92-3.01
Ga1 0.5818 0.9960 0.6932  5 Rh 2.60-2.79, 2 Ga 2.69, 1 Nd 2.92
Ga2 0.3068 0.0818 0.5040  5 Rh 2.60-2.79, 2 Ga 2.69, 1 Nd 2.92
Ga3 0.6932 0.5818 0.9960  5 Rh 2.60-2.79, 2 Ga 2.69, 1 Nd 2.92
Ga4 0.9960 0.6932 0.5818  5 Rh 2.60-2.79, 2 Ga 2.69, 1 Nd 2.92
Ga5 0.8068 0.4182 0.4960  5 Rh 2.60-2.79, 2 Ga 2.69, 1 Nd 2.92
Ga6 0.0040 0.1932 0.9182  5 Rh 2.60-2.79, 2 Ga 2.69, 1 Nd 2.92
Ga7 0.1932 0.9182 0.0040  5 Rh 2.60-2.79, 2 Ga 2.69, 1 Nd 2.92
Ga8 0.0818 0.5040 0.3068  5 Rh 2.60-2.79, 2 Ga 2.69, 1 Nd 2.92
Ga9 0.4960 0.8068 0.4182  5 Rh 2.60-2.79, 2 Ga 2.69, 1 Nd 2.92
Ga10 0.4182 0.4960 0.8068  5 Rh 2.60-2.79, 2 Ga 2.69, 1 Nd 2.92
Ga11 0.9182 0.0040 0.1932  5 Rh 2.60-2.79, 2 Ga 2.69, 1 Nd 2.92
Ga12 0.5040 0.3068 0.0818  5 Rh 2.60-2.79, 2 Ga 2.69, 1 Nd 2.92



- Which of these has the highest M_tot?
  Nd2PuGa



- Which formula does entry 2 have?
  Nd2PuGa



- Look up the M_tot of the fourth one.
  0.49 μB per atom